In2CuSe, optimized geometry, DFT PBE; magnetization = 0.0 Bohr magnetons per cell; final energy = -13.2 eV/cell; uncorrected formation energy = -0.0419 eV per atom
1.0
7.393 0.562 -0.157
5.133 5.350 0.157
-6.179 -3.134 2.644
Se Cu In
1 1 2
direct
0.425 0.425 0.000 Se
0.308 0.808 0.500 Cu
0.034 0.034 0.000 In
0.733 0.233 0.500 In

---

Cr2CuSe2S2, optimized geometry, DFT PBE; magnetization = 10.2 Bohr magnetons per cell; final energy = -84.9 eV/cell; uncorrected formation energy = -0.5531 eV per atom
1.0
0.000 5.062 5.062
5.062 0.000 5.062
5.062 5.062 0.000
Se S Cr Cu
4 4 4 2
direct
0.634 0.099 0.634 Se
0.099 0.634 0.634 Se
0.634 0.634 0.099 Se
0.634 0.634 0.634 Se
0.118 0.647 0.118 S
0.647 0.118 0.118 S
0.118 0.118 0.118 S
0.118 0.118 0.647 S
0.882 0.882 0.354 Cr
0.882 0.354 0.882 Cr
0.882 0.882 0.882 Cr
0.354 0.882 0.882 Cr
0.250 0.250 0.250 Cu
0.500 0.500 0.500 Cu

---

Dy3Ga4Ni4, optimized geometry, DFT PBE; magnetization = 0.0 Bohr magnetons per cell; final energy = -55.3 eV/cell; calculated formation energy = -0.572 eV/atom
1.0
-0.177 2.238 -3.551
2.192 -2.466 -1.664
-11.096 -6.415 -1.006
Dy Ni Ga
3 4 4
direct
0.000 0.000 0.000 Dy
0.353 0.853 0.705 Dy
0.647 0.147 0.295 Dy
0.255 0.255 0.509 Ni
0.903 0.403 0.805 Ni
0.745 0.745 0.491 Ni
0.097 0.597 0.195 Ni
0.194 0.694 0.389 Ga
0.551 0.551 0.103 Ga
0.806 0.306 0.611 Ga
0.449 0.449 0.897 Ga

---

HIrS2, optimized geometry, DFT PBE; magnetization = 0.0 Bohr magnetons per cell; final energy = -18.4 eV/cell
1.0
-0.616 -3.420 0.094
3.421 -0.616 0.020
-0.004 0.124 4.509
S Ir H
2 1 1
direct
0.000 0.000 0.000 S
0.500 0.500 0.500 S
0.500 0.500 0.000 Ir
0.000 0.000 0.500 H

---

La8SmY4, optimized geometry, DFT PBE; magnetization = 0.0 Bohr magnetons per cell; final energy = -68.6 eV/cell; calculated formation energy = 0.106 eV/atom
1.0
10.330 2.327 -8.096
-4.109 5.664 -0.030
-3.612 -1.999 10.160
La Y Sm
8 4 1
direct
0.394 0.805 0.238 La
0.130 0.193 0.468 La
0.137 0.017 0.771 La
0.358 0.342 0.206 La
0.508 0.708 0.699 La
0.809 0.293 0.556 La
0.446 0.172 0.549 La
0.973 0.651 0.254 La
0.628 0.593 0.169 Y
0.899 0.782 0.844 Y
0.599 0.092 0.034 Y
0.975 0.300 0.025 Y
0.146 0.554 0.686 Sm

---

Hg2RhW, optimized geometry, DFT PBE; magnetization = 0.0 Bohr magnetons per cell; final energy = -20.0 eV/cell; calculated formation energy = 0.231 eV/atom
1.0
2.931 0.000 0.000
0.000 2.931 0.000
0.000 0.000 8.581
Hg Rh W
2 1 1
direct
0.000 0.000 0.974 Hg
0.500 0.500 0.278 Hg
0.000 0.000 0.528 Rh
0.500 0.500 0.720 W

---

PmDyHg4, optimized geometry, DFT PBE; magnetization = 0.0 Bohr magnetons per cell; final energy = -11.9 eV/cell; calculated formation energy = -0.228 eV/atom
1.0
5.980 0.000 0.000
2.990 5.179 0.000
2.990 1.726 4.882
Pm Hg Dy
1 4 1
direct
0.250 0.250 0.250 Pm
0.625 0.625 0.125 Hg
0.625 0.125 0.625 Hg
0.125 0.625 0.625 Hg
0.625 0.625 0.625 Hg
0.000 0.000 0.000 Dy

---

Ac2NdSi, optimized geometry, DFT PBE; magnetization = 0.0 Bohr magnetons per cell; final energy = -17.9 eV/cell; uncorrected formation energy = 0.1210 eV per atom
1.0
-3.657 -1.949 -0.322
-1.432 -1.129 -3.736
3.407 -10.766 -0.366
Si Nd Ac
1 1 2
direct
0.500 0.500 0.500 Si
0.000 0.000 0.000 Nd
0.889 0.889 0.333 Ac
0.111 0.111 0.667 Ac

---

K3SrW, optimized geometry, DFT PBE; magnetization = 5.3 Bohr magnetons per cell; final energy = -8.4 eV/cell; calculated formation energy = 1.896 eV/atom
1.0
7.574 0.000 0.000
0.000 7.574 0.000
0.000 0.000 7.574
K Sr W
3 1 1
direct
0.500 0.000 0.000 K
0.000 0.500 0.000 K
0.000 0.000 0.500 K
0.000 0.000 0.000 Sr
0.500 0.500 0.500 W

---

MgTa2F2, optimized geometry, DFT PBE; magnetization = 0.0 Bohr magnetons per cell; final energy = -32.9 eV/cell; uncorrected formation energy = -0.7695 eV per atom
1.0
-1.886 -1.607 2.015
2.306 0.063 2.209
-2.312 5.276 4.575
Mg F Ta
1 2 2
direct
0.000 0.000 0.000 Mg
0.250 0.750 0.500 F
0.750 0.250 0.500 F
0.629 0.629 0.742 Ta
0.371 0.371 0.258 Ta

---

SrBBr2, optimized geometry, DFT PBE; magnetization = 0.0 Bohr magnetons per cell; final energy = -10.6 eV/cell; uncorrected formation energy = 0.2809 eV per atom
1.0
2.451 0.000 8.729
-1.226 2.123 8.729
-1.226 -2.123 8.729
Sr B Br
1 1 2
direct
0.500 0.500 0.500 Sr
0.000 0.000 0.000 B
0.388 0.388 0.388 Br
0.612 0.612 0.612 Br

---

CaAlCdAu, optimized geometry, DFT PBE; magnetization = 0.0 Bohr magnetons per cell; final energy = -11.4 eV/cell; calculated formation energy = -0.363 eV/atom
1.0
4.916 0.000 0.000
2.458 4.257 0.000
2.458 1.419 4.014
Al Ca Au Cd
1 1 1 1
direct
0.250 0.250 0.250 Al
0.750 0.750 0.750 Ca
0.500 0.500 0.500 Au
0.000 0.000 0.000 Cd

---

Copy entry 3 word for word.
Dy3Ga4Ni4, optimized geometry, DFT PBE; magnetization = 0.0 Bohr magnetons per cell; final energy = -55.3 eV/cell; calculated formation energy = -0.572 eV/atom
1.0
-0.177 2.238 -3.551
2.192 -2.466 -1.664
-11.096 -6.415 -1.006
Dy Ni Ga
3 4 4
direct
0.000 0.000 0.000 Dy
0.353 0.853 0.705 Dy
0.647 0.147 0.295 Dy
0.255 0.255 0.509 Ni
0.903 0.403 0.805 Ni
0.745 0.745 0.491 Ni
0.097 0.597 0.195 Ni
0.194 0.694 0.389 Ga
0.551 0.551 0.103 Ga
0.806 0.306 0.611 Ga
0.449 0.449 0.897 Ga